# Rb3UMn2O6

Rb3UMn2O6 after structural relaxation (GGA+U, the Alexandria database).

## Properties
E: -165.84 eV/cell

```
data_Rb3UMn2O6
_chemical_formula_sum 'Rb6 U2 Mn4 O12'
_cell_length_a 5.877
_cell_length_b 10.221
_cell_length_c 6.780
_cell_angle_alpha 90.00
_cell_angle_beta 106.52
_cell_angle_gamma 90.00
_space_group_name_H-M_alt 'C 1 2/m 1'
_space_group_IT_number 12
loop_
_space_group_symop_operation_xyz
'x,y,z'
'-x,-y,-z'
'-x,y,-z'
'x,-y,z'
'x+1/2,y+1/2,z'
'-x+1/2,-y+1/2,-z'
'-x+1/2,y+1/2,-z'
'x+1/2,-y+1/2,z'
loop_
_atom_site_label
_atom_site_type_symbol
_atom_site_fract_x
_atom_site_fract_y
_atom_site_fract_z
Rb1 Rb 0.000 0.000 0.000
Rb2 Rb 0.000 0.326 0.000
U1 U 0.000 0.500 0.500
Mn1 Mn 0.000 0.167 0.500
O1 O 0.218 0.341 0.675
O2 O 0.243 0.000 0.679
```